PBEsol BaCaSCl2, optimized geometry; density = 2.45 g cm⁻³; space group = P4/mmm; total moment = 0.0000 μB per atom; formation energy (no corrections) = -1.38 eV per atom
1.0
5.6233 0.0000 0.0000
0.0000 5.6233 0.0000
0.0000 0.0000 6.0185
Ba Ca S Cl
1 1 1 2
Cartesian
0.0000 0.0000 0.0000
2.8117 2.8117 3.0093
0.0000 0.0000 3.0093
0.0000 2.8117 0.0000
2.8117 0.0000 0.0000

---

PBEsol CaY2Co, optimized geometry; density = 4.38 g cm⁻³; space group = P4/mmm; total moment = 0.0143 μB per atom; DFT formation energy = -0.03 eV per atom; E above lowest polymorph = 0.000 eV/atom
1.0
3.3781 0.0000 0.0000
0.0000 3.3781 0.0000
0.0000 0.0000 9.1936
Ca Y Co
1 2 1
Cartesian
0.0000 0.0000 0.0000
1.6891 1.6891 3.0463
1.6891 1.6891 6.1473
0.0000 0.0000 4.5968

---

PBEsol MgZrTl2, optimized geometry; density = 9.65 g cm⁻³; space group = P4/mmm; total moment = 0.0003 μB per atom; DFT formation energy = -0.08 eV per atom
1.0
5.1976 0.0000 0.0000
0.0000 5.1976 0.0000
0.0000 0.0000 3.3385
Mg Zr Tl
1 1 2
Cartesian
0.0000 0.0000 0.0000
2.5988 2.5988 0.0000
0.0000 2.5988 1.6692
2.5988 0.0000 1.6692

---

PBEsol AlZn2Tc, optimized geometry; density = 7.81 g cm⁻³; space group = P4/mmm; total moment = 0.0976 μB per atom; DFT formation energy = -0.13 eV per atom
1.0
3.6817 0.0000 0.0000
0.0000 3.6817 0.0000
0.0000 0.0000 4.0135
Al Zn Tc
1 2 1
Cartesian
0.0000 0.0000 0.0000
0.0000 1.8409 2.0067
1.8409 0.0000 2.0067
1.8409 1.8409 0.0000

---

PBEsol Ag2CBr, optimized geometry; density = 6.57 g cm⁻³; space group = I-42d; total moment = 0.0000 μB per atom; formation energy (no corrections) = 0.99 eV per atom
1.0
-2.9347 2.9347 4.5142
2.9347 -2.9347 4.5142
2.9347 2.9347 -4.5142
Ag C Br
4 2 2
Cartesian
1.4674 0.8821 -1.1286
2.0526 -1.4674 5.6428
1.4674 2.0526 3.3857
0.8821 4.4021 1.1286
0.0000 0.0000 0.0000
0.0000 2.9347 2.2571
2.9347 0.0000 2.2571
0.0000 0.0000 4.5142

---

PBEsol Ti3CoPb, optimized geometry; density = 5.39 g cm⁻³; space group = Pm-3m; total moment = 0.3817 μB per atom; DFT formation energy = 1.80 eV per atom
1.0
5.0172 0.0000 0.0000
0.0000 5.0172 0.0000
0.0000 0.0000 5.0172
Ti Co Pb
3 1 1
Cartesian
0.0000 0.0000 2.5086
0.0000 2.5086 0.0000
2.5086 0.0000 0.0000
2.5086 2.5086 2.5086
0.0000 0.0000 0.0000

---

PBEsol Sr2LaP, optimized geometry; density = 4.76 g cm⁻³; space group = Fm-3m; total moment = 0.8062 μB per atom; DFT formation energy = 0.15 eV per atom; E above lowest polymorph = 0.630 eV/atom
1.0
0.0000 3.9186 3.9186
3.9186 0.0000 3.9186
3.9186 3.9186 0.0000
Sr La P
2 1 1
Cartesian
1.9593 1.9593 1.9593
5.8779 5.8779 5.8779
0.0000 0.0000 0.0000
3.9186 3.9186 3.9186

---

PBEsol MgSc2As, optimized geometry; density = 3.84 g cm⁻³; space group = P4mm; total moment = 0.0001 μB per atom; DFT formation energy = -0.47 eV per atom
1.0
3.7409 0.0000 0.0000
0.0000 3.7409 0.0000
0.0000 0.0000 5.8394
Mg Sc As
1 2 1
Cartesian
0.0000 0.0000 0.0000
0.0000 0.0000 3.0298
1.8704 1.8704 1.3898
1.8704 1.8704 4.1870